1.
VASP calculation (PBE-GGA) on crystalline Tb2Ho8Cd at its relaxed geometry.

Lattice parameters (Å, degrees): 19.217 5.522 6.369 90.00 95.02 90.00
Space group C2/m (No. 12)
Symmetry-distinct sites (fractional):
Tb 0.243 0.000 0.333 x4
Ho 0.044 0.000 0.264 x4
Ho 0.079 0.500 0.598 x4
Ho 0.154 0.000 0.805 x4
Ho 0.160 0.500 0.123 x4
Cd 0.000 0.500 0.000 x2

As for the density of states at the Fermi level: 32.704 states/eV/cell. The calculation puts the density at 8.63 g/cm³. Its crystal system is monoclinic. Its raw total energy is -4.269 eV/atom. The value obtained for the magnetization is 0.001 Bohr magnetons per cell.

---

2.
VASP calculation (PBE-GGA) on crystalline Tb7Ho2Cd2 at its relaxed geometry.

Lattice parameters (Å, degrees): 8.596 9.708 8.473 90.00 109.84 90.00
Space group C2/m (No. 12)
Symmetry-distinct sites (fractional):
Tb 0.000 0.000 0.000 x2
Tb 0.138 0.000 0.417 x4
Tb 0.197 0.323 0.173 x8
Ho 0.000 0.319 0.500 x4
Cd 0.120 0.500 0.824 x4

As for the density of states at the Fermi level: 26.359 states/eV/cell. The calculation puts the density at 8.32 g/cm³. Its crystal system is monoclinic. Its raw total energy is -3.989 eV/atom. The value obtained for the magnetization is 0.000 Bohr magnetons per cell.